(1)
Compound: Na2MgIn6
Source: Alexandria via LeMat-Bulk
Functional: PBE-GGA
Structure: optimized geometry

Computed properties:
Space-group type   C2/m
Total magnetic moment   0.00 μB per formula unit
DOS(E_F)   0.580 states/eV per atom
Energy relative to the elements   -0.5 eV per formula unit

Cell: 6.3711 6.7830 6.7830 Å, 59.99 90.01 90.01°
Last column: nearest neighbours and their distance in Å.
Fractional coordinates of all 9 atoms:
Na  0.8440  0.6666  0.6666  12 In 3.54-3.76
Na  0.1560  0.3334  0.3334  12 In 3.54-3.76
Mg  0.0000  0.0000  0.0000  6 In 2.97
In  0.3274  0.3604  0.8204  1 Mg 2.97, 4 In 3.06-3.12
In  0.3245  0.8185  0.8185  1 Mg 2.97, 4 In 3.07-3.10
In  0.3274  0.8204  0.3604  1 Mg 2.97, 4 In 3.06-3.12
In  0.6726  0.6396  0.1796  1 Mg 2.97, 4 In 3.06-3.12
In  0.6755  0.1815  0.1815  1 Mg 2.97, 4 In 3.07-3.10
In  0.6726  0.1796  0.6396  1 Mg 2.97, 4 In 3.06-3.12


(2)
Compound: Na6MgIn2
Source: Alexandria via LeMat-Bulk
Functional: PBE-GGA
Structure: optimized geometry

Computed properties:
Space-group type   C2/m
Total magnetic moment   0.00 μB per formula unit
DOS(E_F)   0.367 states/eV per atom
Energy relative to the elements   -0.2 eV per formula unit

Cell: 3.5866 9.5797 9.5797 Å, 124.58 84.95 84.95°
Last column: nearest neighbours and their distance in Å.
Fractional coordinates of all 9 atoms:
Na  0.8088  0.4993  0.1525  4 Na 3.12-3.48, 3 In 3.32-3.47
Na  0.1912  0.5007  0.8475  4 Na 3.12-3.48, 3 In 3.32-3.47
Na  0.6692  0.6766  0.6766  2 Mg 3.32-3.38, 8 Na 3.41-3.59
Na  0.8088  0.1525  0.4993  4 Na 3.12-3.48, 3 In 3.32-3.47
Na  0.1912  0.8475  0.5007  4 Na 3.12-3.48, 3 In 3.32-3.47
Na  0.3308  0.3234  0.3234  2 Mg 3.32-3.38, 8 Na 3.41-3.59
Mg  0.0000  0.0000  0.0000  4 In 3.10, 4 Na 3.32-3.38
In  0.5000  0.8508  0.1492  2 Mg 3.10, 6 Na 3.32-3.47
In  0.5000  0.1492  0.8508  2 Mg 3.10, 6 Na 3.32-3.47


(3)
Compound: NaMg4In4
Source: Alexandria via LeMat-Bulk
Functional: PBE-GGA
Structure: optimized geometry

Computed properties:
Space-group type   P4_2/nmc
Total magnetic moment   0.00 μB per formula unit
DOS(E_F)   0.294 states/eV per atom
Energy relative to the elements   -0.1 eV per formula unit

Cell: 6.7690 6.7690 10.4359 Å, 90.00 90.00 90.00°
Last column: nearest neighbours and their distance in Å.
Fractional coordinates of all 18 atoms:
Na  0.0000  0.0000  0.0000  4 In 3.50, 8 Mg 3.79
Na  0.5000  0.5000  0.5000  4 In 3.50, 8 Mg 3.79
Mg  0.2224  0.5000  0.9250  5 In 3.01-3.08, 3 Mg 3.01-3.08
Mg  0.7776  0.5000  0.9250  5 In 3.01-3.08, 3 Mg 3.01-3.08
Mg  0.5000  0.7776  0.0750  5 In 3.01-3.08, 3 Mg 3.01-3.08
Mg  0.5000  0.2224  0.0750  5 In 3.01-3.08, 3 Mg 3.01-3.08
Mg  0.0000  0.7224  0.4250  5 In 3.01-3.08, 3 Mg 3.01-3.08
Mg  0.0000  0.2776  0.4250  5 In 3.01-3.08, 3 Mg 3.01-3.08
Mg  0.2776  0.0000  0.5750  5 In 3.01-3.08, 3 Mg 3.01-3.08
Mg  0.7224  0.0000  0.5750  5 In 3.01-3.08, 3 Mg 3.01-3.08
In  0.5000  0.7715  0.7850  5 Mg 3.01-3.08, 1 In 3.09
In  0.5000  0.2285  0.7850  5 Mg 3.01-3.08, 1 In 3.09
In  0.7715  0.5000  0.2150  5 Mg 3.01-3.08, 1 In 3.09
In  0.2285  0.5000  0.2150  5 Mg 3.01-3.08, 1 In 3.09
In  0.2715  0.0000  0.2850  5 Mg 3.01-3.08, 1 In 3.09
In  0.7285  0.0000  0.2850  5 Mg 3.01-3.08, 1 In 3.09
In  0.0000  0.2715  0.7150  5 Mg 3.01-3.08, 1 In 3.09
In  0.0000  0.7285  0.7150  5 Mg 3.01-3.08, 1 In 3.09


(4)
Compound: NaMg5In4
Source: Alexandria via LeMat-Bulk
Functional: PBE-GGA
Structure: optimized geometry

Computed properties:
Space-group type   P4/mmm
Total magnetic moment   0.00 μB per formula unit
DOS(E_F)   0.501 states/eV per atom
Energy relative to the elements   -0.3 eV per formula unit

Cell: 3.7273 3.7273 17.5187 Å, 90.00 90.00 90.00°
Last column: nearest neighbours and their distance in Å.
Fractional coordinates of all 10 atoms:
Na  0.0000  0.0000  0.0000  8 Mg 3.28, 2 In 3.56
Mg  0.5000  0.5000  0.1112  4 In 3.09, 4 Na 3.28, 1 Mg 3.36
Mg  0.5000  0.5000  0.3028  8 In 3.15-3.16, 2 Mg 3.36-3.45
Mg  0.5000  0.5000  0.5000  8 In 3.15, 2 Mg 3.45
Mg  0.5000  0.5000  0.6972  8 In 3.15-3.16, 2 Mg 3.36-3.45
Mg  0.5000  0.5000  0.8888  4 In 3.09, 4 Na 3.28, 1 Mg 3.36
In  0.0000  0.0000  0.2031  8 Mg 3.09-3.16
In  0.0000  0.0000  0.4015  8 Mg 3.15, 2 In 3.45-3.47
In  0.0000  0.0000  0.5985  8 Mg 3.15, 2 In 3.45-3.47
In  0.0000  0.0000  0.7969  8 Mg 3.09-3.16


(5)
Compound: Na2Mg3In5
Source: Alexandria via LeMat-Bulk
Functional: PBE-GGA
Structure: optimized geometry

Computed properties:
Space-group type   Ibam
Total magnetic moment   0.00 μB per formula unit
DOS(E_F)   0.397 states/eV per atom
Energy relative to the elements   -0.3 eV per formula unit

Cell: 6.2947 9.8848 9.8848 Å, 88.86 71.43 71.43°
Last column: nearest neighbours and their distance in Å.
Fractional coordinates of all 20 atoms:
Na  0.1288  0.6287  0.1137  4 In 3.40-3.50, 4 Mg 3.41-3.55
Na  0.6288  0.1137  0.6287  4 In 3.40-3.50, 4 Mg 3.41-3.55
Na  0.8712  0.3713  0.8863  4 In 3.40-3.50, 4 Mg 3.41-3.55
Na  0.3712  0.8863  0.3713  4 In 3.40-3.50, 4 Mg 3.41-3.55
Mg  0.3766  0.4782  0.7687  5 In 2.83-3.04
Mg  0.8766  0.7687  0.4782  5 In 2.83-3.04
Mg  0.6234  0.5218  0.2313  5 In 2.83-3.04
Mg  0.1234  0.2313  0.5218  5 In 2.83-3.04
Mg  0.2500  0.0000  0.0000  6 In 3.02-3.11, 2 Mg 3.15
Mg  0.7500  0.0000  0.0000  6 In 3.02-3.11, 2 Mg 3.15
In  0.3798  0.2702  0.9702  3 Mg 2.83-3.02, 2 In 3.05
In  0.8798  0.9702  0.2702  3 Mg 2.83-3.02, 2 In 3.05
In  0.6202  0.7298  0.0298  3 Mg 2.83-3.02, 2 In 3.05
In  0.1202  0.0298  0.7298  3 Mg 2.83-3.02, 2 In 3.05
In  0.4963  0.7537  0.7537  3 Mg 3.04-3.11, 5 In 3.05-3.21
In  0.5037  0.2463  0.2463  3 Mg 3.04-3.11, 5 In 3.05-3.21
In  0.7500  0.5000  0.5000  4 Mg 2.99, 4 In 3.15-3.21
In  0.2500  0.5000  0.5000  4 Mg 2.99, 4 In 3.15-3.21
In  0.0037  0.2463  0.2463  3 Mg 3.04-3.11, 5 In 3.05-3.21
In  0.9963  0.7537  0.7537  3 Mg 3.04-3.11, 5 In 3.05-3.21


(6)
Compound: NaMg2In3
Source: Alexandria via LeMat-Bulk
Functional: PBE-GGA
Structure: optimized geometry

Computed properties:
Space-group type   P4/mmm
Total magnetic moment   0.00 μB per formula unit
DOS(E_F)   0.255 states/eV per atom
Energy relative to the elements   -0.7 eV per formula unit

Cell: 3.2733 3.2733 13.7167 Å, 90.00 90.00 90.00°
Last column: nearest neighbours and their distance in Å.
Fractional coordinates of all 6 atoms:
Na  0.5000  0.5000  0.5000  4 Na 3.27, 8 In 3.40
Mg  0.5000  0.5000  0.8373  8 In 3.15-3.22, 4 Mg 3.27
Mg  0.5000  0.5000  0.1627  8 In 3.15-3.22, 4 Mg 3.27
In  0.0000  0.0000  0.0000  8 Mg 3.22, 4 In 3.27
In  0.0000  0.0000  0.6817  4 Mg 3.15, 4 In 3.27, 4 Na 3.40
In  0.0000  0.0000  0.3183  4 Mg 3.15, 4 In 3.27, 4 Na 3.40


(7)
Compound: NaMg3In12
Source: Alexandria via LeMat-Bulk
Functional: PBE-GGA
Structure: optimized geometry

Computed properties:
Space-group type   P4/mmm
Total magnetic moment   0.00 μB per formula unit
DOS(E_F)   0.412 states/eV per atom
Energy relative to the elements   -0.8 eV per formula unit

Cell: 4.7242 4.7242 18.1612 Å, 90.00 90.00 90.00°
Last column: nearest neighbours and their distance in Å.
Fractional coordinates of all 16 atoms:
Na  0.0000  0.0000  0.0000  12 In 3.33-3.34
Mg  0.0000  0.0000  0.2494  12 In 3.22-3.34
Mg  0.0000  0.0000  0.5000  12 In 3.29-3.34
Mg  0.0000  0.0000  0.7506  12 In 3.22-3.34
In  0.5000  0.5000  0.0000  8 In 3.33, 4 Na 3.34
In  0.5000  0.5000  0.2520  8 In 3.24-3.25, 4 Mg 3.34
In  0.5000  0.5000  0.5000  8 In 3.29, 4 Mg 3.34
In  0.5000  0.5000  0.7480  8 In 3.24-3.25, 4 Mg 3.34
In  0.5000  0.0000  0.1290  2 Mg 3.22, 8 In 3.25-3.34, 2 Na 3.33
In  0.5000  0.0000  0.3742  8 In 3.24-3.34, 4 Mg 3.27-3.29
In  0.5000  0.0000  0.6258  8 In 3.24-3.34, 4 Mg 3.27-3.29
In  0.5000  0.0000  0.8710  2 Mg 3.22, 8 In 3.25-3.34, 2 Na 3.33
In  0.0000  0.5000  0.1290  2 Mg 3.22, 8 In 3.25-3.34, 2 Na 3.33
In  0.0000  0.5000  0.3742  8 In 3.24-3.34, 4 Mg 3.27-3.29
In  0.0000  0.5000  0.6258  8 In 3.24-3.34, 4 Mg 3.27-3.29
In  0.0000  0.5000  0.8710  2 Mg 3.22, 8 In 3.25-3.34, 2 Na 3.33


(8)
Compound: Na2Mg2In
Source: Alexandria via LeMat-Bulk
Functional: PBE-GGA
Structure: optimized geometry

Computed properties:
Space-group type   P4/mbm
Total magnetic moment   0.00 μB per formula unit
DOS(E_F)   0.339 states/eV per atom
Energy relative to the elements   0.9 eV per formula unit

Cell: 9.2119 9.2119 3.3187 Å, 90.00 90.00 90.00°
Last column: nearest neighbours and their distance in Å.
Fractional coordinates of all 10 atoms:
Na  0.3767  0.8767  0.0000  6 Mg 3.10-3.25, 3 Na 3.21-3.32
Na  0.8767  0.6233  0.0000  6 Mg 3.10-3.25, 3 Na 3.21-3.32
Na  0.6233  0.1233  0.0000  6 Mg 3.10-3.25, 3 Na 3.21-3.32
Na  0.1233  0.3767  0.0000  6 Mg 3.10-3.25, 3 Na 3.21-3.32
Mg  0.1759  0.6759  0.5000  6 Na 3.10-3.25, 2 Mg 3.32
Mg  0.6759  0.8241  0.5000  6 Na 3.10-3.25, 2 Mg 3.32
Mg  0.8241  0.3241  0.5000  6 Na 3.10-3.25, 2 Mg 3.32
Mg  0.3241  0.1759  0.5000  6 Na 3.10-3.25, 2 Mg 3.32
In  0.0000  0.0000  0.0000  2 In 3.32, 4 Na 3.65
In  0.5000  0.5000  0.0000  2 In 3.32, 4 Na 3.65


Copy entry 7 word for word.
Compound: NaMg3In12
Source: Alexandria via LeMat-Bulk
Functional: PBE-GGA
Structure: optimized geometry

Computed properties:
Space-group type   P4/mmm
Total magnetic moment   0.00 μB per formula unit
DOS(E_F)   0.412 states/eV per atom
Energy relative to the elements   -0.8 eV per formula unit

Cell: 4.7242 4.7242 18.1612 Å, 90.00 90.00 90.00°
Last column: nearest neighbours and their distance in Å.
Fractional coordinates of all 16 atoms:
Na  0.0000  0.0000  0.0000  12 In 3.33-3.34
Mg  0.0000  0.0000  0.2494  12 In 3.22-3.34
Mg  0.0000  0.0000  0.5000  12 In 3.29-3.34
Mg  0.0000  0.0000  0.7506  12 In 3.22-3.34
In  0.5000  0.5000  0.0000  8 In 3.33, 4 Na 3.34
In  0.5000  0.5000  0.2520  8 In 3.24-3.25, 4 Mg 3.34
In  0.5000  0.5000  0.5000  8 In 3.29, 4 Mg 3.34
In  0.5000  0.5000  0.7480  8 In 3.24-3.25, 4 Mg 3.34
In  0.5000  0.0000  0.1290  2 Mg 3.22, 8 In 3.25-3.34, 2 Na 3.33
In  0.5000  0.0000  0.3742  8 In 3.24-3.34, 4 Mg 3.27-3.29
In  0.5000  0.0000  0.6258  8 In 3.24-3.34, 4 Mg 3.27-3.29
In  0.5000  0.0000  0.8710  2 Mg 3.22, 8 In 3.25-3.34, 2 Na 3.33
In  0.0000  0.5000  0.1290  2 Mg 3.22, 8 In 3.25-3.34, 2 Na 3.33
In  0.0000  0.5000  0.3742  8 In 3.24-3.34, 4 Mg 3.27-3.29
In  0.0000  0.5000  0.6258  8 In 3.24-3.34, 4 Mg 3.27-3.29
In  0.0000  0.5000  0.8710  2 Mg 3.22, 8 In 3.25-3.34, 2 Na 3.33